# 1
Here is a geometry-optimized Ca4Pb2Cl structure from Alexandria. Energies are from PBE.

Unit cell a=9.116 b=9.116 c=9.116 alpha=146.64 beta=146.64 gamma=47.90
Element x y z (fractional)
Ca 0.000 0.500 0.500
Ca 0.182 0.182 0.000
Ca 0.500 0.000 0.500
Ca 0.818 0.818 0.000
Pb 0.373 0.373 0.000
Pb 0.627 0.627 0.000
Cl 0.000 0.000 0.000

- formation energy from raw total energies (eV/atom) = -0.771

=====

# 2
Here is a geometry-optimized Y3HoNi structure from Alexandria. Energies are from PBE.

Unit cell a=5.325 b=5.325 c=5.325 alpha=90.00 beta=90.00 gamma=90.00
Element x y z (fractional)
Y 0.000 0.000 0.500
Y 0.000 0.500 0.000
Y 0.500 0.000 0.000
Ho 0.500 0.500 0.500
Ni 0.000 0.000 0.000

- ΔE_f (eV/atom) = -0.027

=====

# 3
Here is a geometry-optimized LaSmGeCl structure from Alexandria. Energies are from PBE.

Unit cell a=5.937 b=5.049 c=5.049 alpha=59.27 beta=90.00 gamma=90.00
Element x y z (fractional)
La 0.000 0.000 0.000
Sm 0.500 0.670 0.670
Ge 0.500 0.001 0.001
Cl 0.000 0.669 0.669

- formation energy from raw total energies (eV/atom) = -1.025

=====

Copy entry 1 word for word.
Here is a geometry-optimized Ca4Pb2Cl structure from Alexandria. Energies are from PBE.

Unit cell a=9.116 b=9.116 c=9.116 alpha=146.64 beta=146.64 gamma=47.90
Element x y z (fractional)
Ca 0.000 0.500 0.500
Ca 0.182 0.182 0.000
Ca 0.500 0.000 0.500
Ca 0.818 0.818 0.000
Pb 0.373 0.373 0.000
Pb 0.627 0.627 0.000
Cl 0.000 0.000 0.000

- formation energy from raw total energies (eV/atom) = -0.771